Record 1
Crystalline BaNdMn2O8 at its relaxed geometry, computed with GGA+U.

The structure in POSCAR format:
```
BaNdMn2O8
1.0
5.7220 0.0000 0.0000
-2.8610 4.9554 0.0000
0.0000 0.0000 7.8591
Ba Nd Mn O
1 1 2 8
Direct
0.0000 0.0000 0.0000
0.0000 0.0000 0.5000
0.3333 0.6667 0.7766
0.6667 0.3333 0.2234
0.1710 0.3419 0.7063
0.1710 0.8290 0.7063
0.3333 0.6667 0.9870
0.3419 0.1710 0.2937
0.6581 0.8290 0.7063
0.6667 0.3333 0.0130
0.8290 0.1710 0.2937
0.8290 0.6581 0.2937
```

***

Record 2
Crystalline BaSrNdMnO6 at its relaxed geometry, computed with GGA+U.

The structure in POSCAR format:
```
BaSrNdMnO6
1.0
5.9552 0.0000 0.0000
0.0183 5.9762 0.0000
0.0866 0.0697 8.4115
Ba Sr Nd Mn O
2 2 2 2 12
Direct
0.0086 0.0032 0.2507
0.9914 0.9968 0.7493
0.4789 0.5049 0.7539
0.5211 0.4951 0.2461
0.0000 0.5000 0.5000
0.5000 0.0000 0.0000
0.0000 0.5000 0.0000
0.5000 0.0000 0.5000
0.0321 0.4583 0.7733
0.2114 0.7441 0.9841
0.2523 0.2991 0.0345
0.2629 0.7830 0.5221
0.2881 0.2410 0.4631
0.4876 0.0606 0.7259
0.5124 0.9394 0.2741
0.7119 0.7590 0.5369
0.7371 0.2170 0.4779
0.7477 0.7009 0.9655
0.7886 0.2559 0.0159
0.9679 0.5417 0.2267
```

Calculated values
The offset from the most stable computed form comes out at 0.0000 eV per atom.

***

Record 3
Crystalline BaSrNdMnO6 at its relaxed geometry, computed with GGA+U.

The structure in POSCAR format:
```
BaSrNdMnO6
1.0
0.0000 4.2240 4.2240
4.2240 0.0000 4.2240
4.2240 4.2240 0.0000
Ba Sr Nd Mn O
1 1 1 1 6
Direct
0.0000 0.0000 0.0000
0.5000 0.5000 0.5000
0.7500 0.7500 0.7500
0.2500 0.2500 0.2500
0.0226 0.0226 0.4774
0.0226 0.4774 0.0226
0.0226 0.4774 0.4774
0.4774 0.0226 0.0226
0.4774 0.0226 0.4774
0.4774 0.4774 0.0226
```

Calculated values
The offset from the most stable computed form comes out at 0.0079 eV per atom.

***

Computed total DFT energy (no corrections), in the same sequence as the records: -6.85; -6.88; -6.87 eV/atom.